Computed, not measured: crystalline Ga2AgMoO8 at its relaxed geometry at the PBE with a Hubbard U level of DFT.

```
12
Lattice="-2.296 -3.050 2.747 2.700 -3.381 -1.826 4.356 0.898 4.359" Properties=species:S:1:pos:R:3 pbc="T T T"
O 5.091 -2.627 2.375
Mo 0.000 0.000 0.000
O 2.546 -3.123 0.027
Ag 2.178 0.449 2.179
O -0.330 -2.906 2.904
Ga 1.254 -2.989 1.578
O 4.477 -1.055 4.640
O 0.284 -4.478 0.639
O 2.459 -3.947 2.804
O 2.302 -1.586 2.475
Ga 3.507 -2.544 3.701
O 2.216 -2.410 5.252
```

Summary:
Crystal system = triclinic
DFT total energy = -5.744 eV/atom